Entry 1:
SrAu3F after structural relaxation, computed with GGA-PBE.

POSCAR file:
```
SrAu3F
1.0
-3.480 -3.083 -3.681
0.627 -4.799 3.426
-4.760 1.621 3.143
Sr Au F
1 3 1
Cartesian
0.000 0.000 0.000
0.314 -2.400 1.713
-2.380 0.811 1.571
-1.740 -1.541 -1.840
-3.806 -3.130 1.444
```

For the total moment, the calculation gives 1.98 μB per cell. As for the density of states at the Fermi level: 0.986 states/eV per atom. The calculation puts the polymorph energy (0 for the lowest one) at 754 meV/atom. Its raw formation energy is 558 meV/atom.



Entry 2:
ScSn2Mo after structural relaxation, computed with GGA-PBE.

POSCAR file:
```
ScSn2Mo
1.0
3.093 0.000 0.000
1.546 2.679 0.000
1.546 0.893 10.766
Sc Mo Sn
1 1 2
Cartesian
3.093 1.786 5.383
0.000 0.000 0.000
1.546 0.893 7.958
4.639 2.679 2.808
```

For the total moment, the calculation gives 0.00 μB per cell. As for the density of states at the Fermi level: 1.355 states/eV per atom. The calculation puts the polymorph energy (0 for the lowest one) at 494 meV/atom. As for the formation energy: 0.436 eV per atom.



Entry 3:
Be2PH after structural relaxation, computed with GGA-PBE.

POSCAR file:
```
Be2PH
1.0
-0.738 -2.535 -2.682
11.916 -1.566 -1.801
0.557 -0.851 4.426
Be P H
8 4 4
Cartesian
-0.239 -1.403 -0.359
5.998 -2.612 0.954
2.527 -3.184 -1.081
8.465 -3.964 -1.978
8.764 -4.393 0.232
2.785 -3.607 1.135
0.155 -1.175 2.045
5.834 -1.532 -1.069
7.694 -2.532 -0.470
4.039 -2.052 0.083
2.015 -2.175 2.644
10.275 -3.260 1.395
-0.304 -2.646 0.288
5.375 -3.003 -2.825
0.040 -0.559 0.753
6.277 -1.767 2.066
```

For the total moment, the calculation gives 0.00 μB per cell. As for the density of states at the Fermi level: 0.000 states/eV per atom. The calculation puts the polymorph energy (0 for the lowest one) at 30 meV/atom.



Entry 4:
TbNdSm2 after structural relaxation, computed with GGA-PBE.

POSCAR file:
```
TbNdSm2
1.0
-3.291 -0.173 -1.506
-0.656 -2.379 -2.653
-4.567 -8.914 6.646
Nd Tb Sm
1 1 2
Cartesian
0.000 0.000 0.000
-4.257 -5.733 1.244
-6.374 -8.571 1.837
-2.140 -2.895 0.650
```

For the total moment, the calculation gives 0.00 μB per cell. As for the density of states at the Fermi level: 1.350 states/eV per atom. The calculation puts the polymorph energy (0 for the lowest one) at 0 meV/atom. As for the formation energy: 0.014 eV per atom.



Entry 5:
TaNi3C after structural relaxation, computed with GGA-PBE.

POSCAR file:
```
TaNi3C
1.0
4.501 0.000 0.000
0.000 4.501 0.000
0.000 0.000 4.501
Ni C Ta
3 1 1
Cartesian
0.000 2.250 0.000
0.000 0.000 2.250
2.250 0.000 0.000
2.250 2.250 2.250
0.000 0.000 0.000
```

For the total moment, the calculation gives 0.00 μB per cell. As for the density of states at the Fermi level: 1.009 states/eV per atom. The calculation puts the polymorph energy (0 for the lowest one) at 2384 meV/atom. As for the formation energy: 2.579 eV per atom.



Entry 6:
Ni2HgSe after structural relaxation, computed with GGA-PBE.

POSCAR file:
```
Ni2HgSe
1.0
7.067 -0.150 -0.089
6.349 3.107 -0.089
6.349 1.400 2.776
Hg Ni Se
1 2 1
Cartesian
14.823 3.268 1.948
19.536 4.308 2.568
10.110 2.229 1.329
4.941 1.089 0.649
```

For the total moment, the calculation gives 0.00 μB per cell. As for the density of states at the Fermi level: 0.684 states/eV per atom. Its raw formation energy is 116 meV/atom.



Entry 7:
K3CaNp2S6 after structural relaxation, computed with GGA-PBE.

POSCAR file:
```
K3CaNp2S6
1.0
-0.530 6.118 3.574
-3.273 -5.823 2.420
7.246 -1.847 1.878
K Ca Np S
3 1 2 6
Cartesian
0.797 -4.799 3.548
2.646 3.246 4.325
1.722 -0.776 3.936
0.000 0.000 0.000
-2.360 -1.846 2.805
-1.444 2.141 3.190
3.378 0.821 6.252
-1.285 -0.158 4.692
0.065 -2.374 1.621
2.426 -3.325 5.851
4.728 -1.394 3.181
1.018 1.773 2.022
```

For the total moment, the calculation gives 7.00 μB per cell. As for the density of states at the Fermi level: 1.448 states/eV per atom. Its raw formation energy is -1528 meV/atom.



Entry 8:
PrGa4Ni6 after structural relaxation, computed with GGA-PBE.

POSCAR file:
```
PrGa4Ni6
1.0
-0.942 3.368 -1.654
-3.304 1.883 5.716
6.659 1.487 -0.763
Pr Ga Ni
1 4 6
Cartesian
0.000 0.000 0.000
0.879 4.081 3.287
-0.461 2.736 1.309
-1.781 3.488 3.592
3.338 1.619 1.396
-1.296 1.114 3.007
2.873 3.958 1.900
1.323 1.699 2.706
0.023 2.440 4.955
4.110 3.254 -0.239
1.618 2.697 0.047
```

For the total moment, the calculation gives 0.00 μB per cell. As for the density of states at the Fermi level: 0.682 states/eV per atom. As for the formation energy: -0.417 eV per atom.



The highest total moment belongs to which entry?
K3CaNp2S6